This record from Alexandria via LeMat-Bulk describes Ta3PdC after structural relaxation. The functional is PBE-GGA.

Cell lengths 4.270, 4.270, 4.270 Å; angles 90.00, 90.00, 90.00 degrees
Atoms (fractional coordinates):
Ta: 0.000 0.000 0.500
Ta: 0.000 0.500 0.000
Ta: 0.500 0.000 0.000
Pd: 0.500 0.500 0.500
C: 0.000 0.000 0.000

Computed properties:
Energy above the lowest structure with this stoichiometry (meV per atom): 48
Symmetry: Pm-3m (221)
Calculated total energy (eV for the cell shown): -51.24

***

This record from Alexandria via LeMat-Bulk describes Ba3InSn8 after structural relaxation. The functional is PBE-GGA.

Cell lengths 6.487, 6.487, 10.509 Å; angles 90.00, 90.00, 120.00 degrees
Atoms (fractional coordinates):
Sn: 0.507 0.493 0.748
Sn: 0.164 0.836 0.252
Sn: 0.164 0.329 0.252
Sn: 0.333 0.667 0.514
Sn: 0.333 0.667 0.004
Sn: 0.507 0.014 0.748
Sn: 0.986 0.493 0.748
Sn: 0.671 0.836 0.252
Ba: 0.667 0.333 0.441
Ba: 0.000 0.000 0.921
Ba: 0.667 0.333 0.068
In: 0.000 0.000 0.551

Computed properties:
Symmetry: P3m1 (156)
Calculated total energy (eV for the cell shown): -45.31

***

Number 1: ΔH_f (0 K) -0.25 eV per atom, calculated density 14.10 g/cm³. Number 2: ΔH_f (0 K) -0.40 eV per atom, calculated density 6.40 g/cm³.